1.
VASP calculation (PBE) on a relaxed structure of PRhCl.

Unit cell a=4.2510 b=4.2510 c=4.2510 alpha=60.00 beta=60.00 gamma=60.00
With the nearest neighbours (Å) after each atom.
Atoms (fractional coordinates):
P (0.0000, 0.0000, 0.0000)  4 Cl 2.60, 4 Rh 2.60
Rh (0.2500, 0.2500, 0.2500)  4 P 2.60
Cl (0.7500, 0.7500, 0.7500)  4 P 2.60

Summary:
* DFT total energy: -4.225 eV/atom
* space-group type: F-43m, No. 216
* total magnetization: 0.000 Bohr magnetons per cell
* energy relative to the lowest polymorph listed for this composition: 1.021 eV/atom
* theoretical density: 5.176 Mg/m³
* E_form (uncorrected): 0.645 eV per atom



2.
VASP calculation (PBE) on a relaxed structure of Nb4FeRu5.

Unit cell a=7.5174 b=7.5174 c=5.3999 alpha=110.67 beta=110.67 gamma=33.12
With the nearest neighbours (Å) after each atom.
Atoms (fractional coordinates):
Nb (0.0814, 0.0814, 0.3363)  7 Ru 2.64-2.83, 2 Fe 2.77
Nb (0.3058, 0.3058, 0.8746)  7 Ru 2.60-2.79, 1 Fe 2.63
Nb (0.6942, 0.6942, 0.1254)  7 Ru 2.60-2.79, 1 Fe 2.63
Nb (0.9186, 0.9186, 0.6637)  7 Ru 2.64-2.83, 2 Fe 2.77
Fe (0.5000, 0.5000, 0.0000)  6 Nb 2.63-2.77, 2 Ru 2.70
Ru (0.1154, 0.1154, 0.8567)  6 Nb 2.60-2.81
Ru (0.2965, 0.2965, 0.3815)  6 Nb 2.62-2.83, 1 Ru 2.76
Ru (0.5000, 0.5000, 0.5000)  2 Fe 2.70, 4 Nb 2.74, 6 Ru 2.76-2.95
Ru (0.7035, 0.7035, 0.6185)  6 Nb 2.62-2.83, 1 Ru 2.76
Ru (0.8846, 0.8846, 0.1433)  6 Nb 2.60-2.81

Summary:
* DFT total energy: -9.704 eV/atom
* space-group type: C2/m, No. 12
* total magnetization: 1.251 Bohr magnetons per cell
* theoretical density: 9.991 Mg/m³